[1]
Material: Ac2HoSi3Ni12
Method: DFT, PBE
State: optimized geometry

The structure belongs to space group R-3m (No. 166, hexagonal axes); the cell edges are 7.4384, 7.4384 and 20.1551 Å and the angles 90.00°, 90.00° and 120.00°. The distinct sites, in fractional coordinates, are Ac at (0.0000, 0.0000, 0.1057), Ho at (0.0000, 0.0000, 0.5000), Si at (0.0000, 0.5000, 0.0000), Ni at (0.0153, 0.5076, 0.3607) and Ni at (0.0943, 0.5472, 0.8908).

The density of states at the Fermi level is 42.94 states/eV/cell. For the density, the calculation gives 7.3 g/cm³. The calculation puts the formation energy from raw total energies at 4 kJ/mol of atoms. Its total DFT energy (no corrections) is -293.2 eV/cell.

[2]
Material: AcHoSi2Ni2
Method: DFT, PBE
State: optimized geometry

The structure belongs to space group P-3m1 (No. 164); the cell edges are 4.0521, 4.0521 and 8.4127 Å and the angles 90.00°, 90.00° and 120.00°. The distinct sites, in fractional coordinates, are Ac at (0.0000, 0.0000, 0.0000), Ho at (0.0000, 0.0000, 0.5000), Si at (0.3333, 0.6667, 0.2732) and Ni at (0.3333, 0.6667, 0.7234).

The density of states at the Fermi level is 4.46 states/eV/cell. For the density, the calculation gives 7.8 g/cm³. The calculation puts the formation energy from raw total energies at -68 kJ/mol of atoms. Its total DFT energy (no corrections) is -35.4 eV/cell.

[3]
Material: AcHoNiSn
Method: DFT, PBE
State: optimized geometry

The structure belongs to space group F-43m (No. 216); the cell edges are 7.5627, 7.5627 and 7.5627 Å and the angles 90.00°, 90.00° and 90.00°. The distinct sites, in fractional coordinates, are Ac at (0.0000, 0.0000, 0.0000), Ho at (0.0000, 0.0000, 0.5000), Ni at (0.2500, 0.2500, 0.2500) and Sn at (0.2500, 0.2500, 0.7500).

The density of states at the Fermi level is 7.23 states/eV/cell. For the density, the calculation gives 8.7 g/cm³. As for the energy of formation: -0.3043 eV/atom. Its total DFT energy (no corrections) is -78.7 eV/cell.

[4]
Material: Ac2HoNi3Sn4
Method: DFT, PBE
State: optimized geometry

The structure belongs to space group P-4m2 (No. 115); the cell edges are 4.5304, 4.5304 and 11.8015 Å and the angles 90.00°, 90.00° and 90.00°. The distinct sites, in fractional coordinates, are Ac at (0.0000, 0.5000, 0.2290), Ho at (0.0000, 0.0000, 0.5000), Ni at (0.0000, 0.5000, 0.8842), Ni at (0.5000, 0.5000, 0.5000), Sn at (0.0000, 0.0000, 0.0000), Sn at (0.0000, 0.5000, 0.6630) and Sn at (0.5000, 0.5000, 0.0000).

The density of states at the Fermi level is 6.48 states/eV/cell. For the density, the calculation gives 8.7 g/cm³. As for the energy of formation: -0.5186 eV/atom. Its total DFT energy (no corrections) is -51.3 eV/cell.

- Which value of total DFT energy (no corrections) does entry 1 give?
  -293.2 eV/cell

Please write out number 1 again, unchanged.
Material: Ac2HoSi3Ni12
Method: DFT, PBE
State: optimized geometry

The structure belongs to space group R-3m (No. 166, hexagonal axes); the cell edges are 7.4384, 7.4384 and 20.1551 Å and the angles 90.00°, 90.00° and 120.00°. The distinct sites, in fractional coordinates, are Ac at (0.0000, 0.0000, 0.1057), Ho at (0.0000, 0.0000, 0.5000), Si at (0.0000, 0.5000, 0.0000), Ni at (0.0153, 0.5076, 0.3607) and Ni at (0.0943, 0.5472, 0.8908).

The density of states at the Fermi level is 42.94 states/eV/cell. For the density, the calculation gives 7.3 g/cm³. The calculation puts the formation energy from raw total energies at 4 kJ/mol of atoms. Its total DFT energy (no corrections) is -293.2 eV/cell.

What did the second record say?
Material: AcHoSi2Ni2
Method: DFT, PBE
State: optimized geometry

The structure belongs to space group P-3m1 (No. 164); the cell edges are 4.0521, 4.0521 and 8.4127 Å and the angles 90.00°, 90.00° and 120.00°. The distinct sites, in fractional coordinates, are Ac at (0.0000, 0.0000, 0.0000), Ho at (0.0000, 0.0000, 0.5000), Si at (0.3333, 0.6667, 0.2732) and Ni at (0.3333, 0.6667, 0.7234).

The density of states at the Fermi level is 4.46 states/eV/cell. For the density, the calculation gives 7.8 g/cm³. The calculation puts the formation energy from raw total energies at -68 kJ/mol of atoms. Its total DFT energy (no corrections) is -35.4 eV/cell.